# 1
Re4MoCl: relaxed, PBEsol.

```
data_Re4MoCl
_chemical_formula_sum 'Re16 Mo4 Cl4'
_space_group_name_H-M_alt 'F -4 3 m'
_space_group_IT_number 216
_space_group_name_Hall 'F -4 2 3'
_cell_length_a 7.2967
_cell_length_b 7.2967
_cell_length_c 7.2967
_cell_angle_alpha 90.00
_cell_angle_beta 90.00
_cell_angle_gamma 90.00
loop_
_atom_site_label
_atom_site_type_symbol
_atom_site_fract_x
_atom_site_fract_y
_atom_site_fract_z
_atom_site_occupancy
Re1 Re 0.1254 0.1254 0.1254 1
Mo1 Mo 0.2500 0.2500 0.7500 1
Cl1 Cl 0.0000 0.0000 0.5000 1
```

Summary:
* M_tot: 0.00 μB/f.u.
* ρ: 15.0 Mg/m³
* ΔE_f (raw): 1.07 eV/atom
* volume: 388 Å³ per cell

# 2
ReMoCl2: relaxed, PBEsol.

```
data_ReMoCl2
_chemical_formula_sum 'Re4 Mo4 Cl8'
_space_group_name_H-M_alt 'F m -3 m'
_space_group_IT_number 225
_space_group_name_Hall '-F 4 2 3'
_cell_length_a 6.0553
_cell_length_b 6.0553
_cell_length_c 6.0553
_cell_angle_alpha 90.00
_cell_angle_beta 90.00
_cell_angle_gamma 90.00
loop_
_atom_site_label
_atom_site_type_symbol
_atom_site_fract_x
_atom_site_fract_y
_atom_site_fract_z
_atom_site_occupancy
Re1 Re 0.0000 0.0000 0.0000 1
Mo1 Mo 0.0000 0.0000 0.5000 1
Cl1 Cl 0.2500 0.2500 0.2500 1
```

Summary:
* M_tot: 0.00 μB/f.u.
* ρ: 10.6 Mg/m³
* ΔE_f (raw): 1.17 eV/atom
* volume: 222 Å³ per cell
* E above lowest polymorph: 1203 meV/atom

# 3
ReMoCl2: relaxed, PBEsol.

```
data_ReMoCl2
_chemical_formula_sum 'Re2 Mo2 Cl4'
_space_group_name_H-M_alt 'C m m 2'
_space_group_IT_number 35
_cell_length_a 3.1131
_cell_length_b 5.2937
_cell_length_c 9.2006
_cell_angle_alpha 90.00
_cell_angle_beta 90.00
_cell_angle_gamma 90.00
loop_
_space_group_symop_operation_xyz
'x,y,z'
'-x,-y,z'
'-x,y,z'
'x,-y,z'
'x+1/2,y+1/2,z'
'-x+1/2,-y+1/2,z'
'-x+1/2,y+1/2,z'
'x+1/2,-y+1/2,z'
loop_
_atom_site_label
_atom_site_type_symbol
_atom_site_fract_x
_atom_site_fract_y
_atom_site_fract_z
_atom_site_occupancy
Re1 Re 0.0000 0.0000 0.0000 1
Mo1 Mo 0.0000 0.5000 0.7997 1
Cl1 Cl 0.0000 0.0000 0.5825 1
Cl2 Cl 0.0000 0.5000 0.2218 1
```

Summary:
* M_tot: 0.00 μB/f.u.
* ρ: 7.7 Mg/m³
* ΔE_f (raw): 0.25 eV/atom
* volume: 152 Å³ per cell
* E above lowest polymorph: 284 meV/atom

# 4
ReMoCl2: relaxed, PBEsol.

```
data_ReMoCl2
_chemical_formula_sum 'Re2 Mo2 Cl4'
_space_group_name_H-M_alt 'I m m m'
_space_group_IT_number 71
_space_group_name_Hall '-I 2 2'
_cell_length_a 2.9756
_cell_length_b 4.3308
_cell_length_c 12.5492
_cell_angle_alpha 90.00
_cell_angle_beta 90.00
_cell_angle_gamma 90.00
loop_
_atom_site_label
_atom_site_type_symbol
_atom_site_fract_x
_atom_site_fract_y
_atom_site_fract_z
_atom_site_occupancy
Re1 Re 0.0000 0.0000 0.0000 1
Mo1 Mo 0.0000 0.0000 0.5000 1
Cl1 Cl 0.0000 0.5000 0.3470 1
```

Summary:
* M_tot: 0.55 μB/f.u.
* ρ: 7.3 Mg/m³
* ΔE_f (raw): 0.59 eV/atom
* volume: 162 Å³ per cell
* E above lowest polymorph: 626 meV/atom